# 1
Below is Ti2TcGe2 after structural relaxation, with properties calculated at the PBEsol level.

Computed properties:
SG: No. 127
formation enthalpy at 0 K: -0.6125 eV/atom

Geometry as extended XYZ:
```
10
Lattice="6.4903 0.0000 0.0000 0.0000 6.4903 0.0000 0.0000 0.0000 3.5489" Properties=species:S:1:pos:R:3 pbc="T T T"
Ti 1.0859 2.1592 0.0000
Ti 2.1592 5.4043 0.0000
Ti 4.3311 1.0859 0.0000
Ti 5.4043 4.3311 0.0000
Tc 0.0000 0.0000 1.7744
Tc 3.2451 3.2451 1.7744
Ge 0.8818 4.1269 1.7744
Ge 2.3634 0.8818 1.7744
Ge 4.1269 5.6085 1.7744
Ge 5.6085 2.3634 1.7744
```

***

# 2
Below is Cr5W after structural relaxation, with properties calculated at the PBEsol level.

Computed properties:
SG: No. 12
formation enthalpy at 0 K: 0.0601 eV/atom

Geometry as extended XYZ:
```
6
Lattice="4.5391 -1.4436 0.0000 4.5391 1.4436 0.0000 -1.8197 0.0000 5.4763" Properties=species:S:1:pos:R:3 pbc="T T T"
Cr 0.0000 0.0000 0.0000
Cr 2.6973 0.0000 0.8634
Cr 1.7843 0.0000 3.6934
Cr 5.4742 0.0000 1.7829
Cr 4.5612 0.0000 4.6129
W -0.9098 0.0000 2.7381
```

***

# 3
Below is As2RuCl after structural relaxation, with properties calculated at the PBEsol level.

Computed properties:
SG: No. 225
E_form (uncorrected): 0.54 eV per atom

Geometry as extended XYZ:
```
4
Lattice="0.0000 3.1738 3.1738 3.1738 0.0000 3.1738 3.1738 3.1738 0.0000" Properties=species:S:1:pos:R:3 pbc="T T T"
As 1.5869 1.5869 1.5869
As 4.7607 4.7607 4.7607
Ru 0.0000 0.0000 0.0000
Cl 3.1738 3.1738 3.1738
```

***

# 4
Below is FeH3S after structural relaxation, with properties calculated at the PBEsol level.

Computed properties:
uncorrected energy: -3.66 eV/atom
SG: No. 221

Geometry as extended XYZ:
```
5
Lattice="3.3607 0.0000 0.0000 0.0000 3.3607 0.0000 0.0000 0.0000 3.3607" Properties=species:S:1:pos:R:3 pbc="T T T"
Fe 0.0000 0.0000 0.0000
H 0.0000 1.6803 1.6803
H 1.6803 0.0000 1.6803
H 1.6803 1.6803 0.0000
S 1.6803 1.6803 1.6803
```

***

# 5
Below is TaCoNi2 after structural relaxation, with properties calculated at the PBEsol level.

Computed properties:
SG: No. 38
formation enthalpy at 0 K: -0.3644 eV/atom

Geometry as extended XYZ:
```
8
Lattice="4.1321 0.0000 0.0000 0.0000 2.5823 4.3900 0.0000 -2.5823 4.3900" Properties=species:S:1:pos:R:3 pbc="T T T"
Ta 0.0000 0.0000 0.0000
Ta 2.0660 0.0000 2.8464
Co 2.0660 -1.2281 5.0932
Co 2.0660 1.2281 5.0932
Ni 0.0000 0.0000 4.4036
Ni 0.0000 -1.2286 6.5272
Ni 0.0000 1.2286 6.5272
Ni 2.0660 0.0000 7.2231
```

***

# 6
Below is YTiAl2 after structural relaxation, with properties calculated at the PBEsol level.

Computed properties:
SG: No. 122
formation enthalpy at 0 K: 0.3752 eV/atom

Geometry as extended XYZ:
```
8
Lattice="-2.0997 2.0997 9.9912 2.0997 -2.0997 9.9912 2.0997 2.0997 -9.9912" Properties=species:S:1:pos:R:3 pbc="T T T"
Y 0.0000 0.0000 0.0000
Y 0.0000 2.0997 4.9956
Ti 2.0997 0.0000 4.9956
Ti 0.0000 0.0000 9.9912
Al 1.0498 -0.8503 7.4934
Al 1.2494 1.0498 2.4978
Al 1.0498 2.9500 -2.4978
Al 0.8503 1.0498 12.4889
```

***

# 7
Below is In3MoC after structural relaxation, with properties calculated at the PBEsol level.

Computed properties:
SG: No. 221
formation enthalpy at 0 K: 1.3342 eV/atom

Geometry as extended XYZ:
```
5
Lattice="4.5527 0.0000 0.0000 0.0000 4.5527 0.0000 0.0000 0.0000 4.5527" Properties=species:S:1:pos:R:3 pbc="T T T"
In 0.0000 0.0000 2.2763
In 0.0000 2.2763 0.0000
In 2.2763 0.0000 0.0000
Mo 2.2763 2.2763 2.2763
C 0.0000 0.0000 0.0000
```

***

# 8
Below is GaGeSb2I after structural relaxation, with properties calculated at the PBEsol level.

Computed properties:
SG: No. 123
E_form (uncorrected): 0.54 eV per atom

Geometry as extended XYZ:
```
5
Lattice="5.3055 0.0000 0.0000 0.0000 5.3055 0.0000 0.0000 0.0000 5.7141" Properties=species:S:1:pos:R:3 pbc="T T T"
Ga 0.0000 0.0000 0.0000
Ge 2.6527 2.6527 2.8570
Sb 0.0000 2.6527 2.8570
Sb 2.6527 0.0000 2.8570
I 2.6527 2.6527 0.0000
```

***

# 9
Below is IrOsN2 after structural relaxation, with properties calculated at the PBEsol level.

Computed properties:
SG: No. 166
E_form (uncorrected): 0.37 eV per atom

Geometry as extended XYZ:
```
4
Lattice="1.3785 0.7959 6.5407 -1.3785 0.7959 6.5407 0.0000 -1.5917 6.5407" Properties=species:S:1:pos:R:3 pbc="T T T"
Ir 0.0000 0.0000 0.0000
Os 0.0000 0.0000 9.8111
N 0.0000 0.0000 1.9462
N 0.0000 0.0000 17.6760
```

***

# 10
Below is LaAgSCl2 after structural relaxation, with properties calculated at the PBEsol level.

Computed properties:
SG: No. 123
E_form (uncorrected): -0.94 eV per atom

Geometry as extended XYZ:
```
5
Lattice="4.8554 0.0000 0.0000 0.0000 4.8554 0.0000 0.0000 0.0000 4.9819" Properties=species:S:1:pos:R:3 pbc="T T T"
La 0.0000 0.0000 0.0000
Ag 2.4277 2.4277 2.4910
S 2.4277 2.4277 0.0000
Cl 0.0000 2.4277 2.4910
Cl 2.4277 0.0000 2.4910
```

***

# 11
Below is InSbAs after structural relaxation, with properties calculated at the PBEsol level.

Computed properties:
SG: No. 42
E_form (uncorrected): 0.21 eV per atom

Geometry as extended XYZ:
```
3
Lattice="0.0000 2.5804 7.5889 1.7881 0.0000 7.5889 1.7881 2.5804 0.0000" Properties=species:S:1:pos:R:3 pbc="T T T"
In 0.0000 0.0000 0.0000
Sb 1.7881 2.5804 10.4330
As 1.7881 2.5804 5.1661
```

***

# 12
Below is TaCuAs2Se after structural relaxation, with properties calculated at the PBEsol level.

Computed properties:
SG: No. 123
E_form (uncorrected): 0.89 eV per atom

Geometry as extended XYZ:
```
5
Lattice="4.5316 0.0000 0.0000 0.0000 4.5316 0.0000 0.0000 0.0000 4.6204" Properties=species:S:1:pos:R:3 pbc="T T T"
Ta 0.0000 0.0000 0.0000
Cu 2.2658 2.2658 2.3102
As 0.0000 2.2658 2.3102
As 2.2658 0.0000 2.3102
Se 2.2658 2.2658 0.0000
```

***

Total magnetic moment values, unit μB per formula unit, following the record order: 0.000, 0.001, 0.696, 2.863, 0.000, 2.049, 2.311, 0.002, 0.000, 0.303, 0.000, 1.020.